{"formula": "CaBi2Br", "functional": "GGA-PBE", "state": "relaxed", "cell": [[0.000, 3.978, 3.978], [3.978, 0.000, 3.978], [3.978, 3.978, 0.000]], "species": ["Ca", "Bi", "Bi", "Br"], "frac_coords": [[0.000, 0.000, 0.000], [0.250, 0.250, 0.250], [0.750, 0.750, 0.750], [0.500, 0.500, 0.500]], "dos_ef_per_ev_atom": 1.1830, "e_form_raw_ev_per_atom": -0.148, "de_polymorph_mev_per_atom": 509.9}

{"formula": "Co3PtS", "functional": "GGA-PBE", "state": "relaxed", "cell": [[4.092, 0.000, 0.000], [0.000, 4.092, 0.000], [0.000, 0.000, 4.092]], "species": ["Co", "Co", "Co", "Pt", "S"], "frac_coords": [[0.000, 0.000, 0.500], [0.000, 0.500, 0.000], [0.500, 0.000, 0.000], [0.500, 0.500, 0.500], [0.000, 0.000, 0.000]], "dos_ef_per_ev_atom": 0.9971, "e_form_raw_ev_per_atom": 0.238, "de_polymorph_mev_per_atom": 0.0}

{"formula": "Dy2PuGe4", "functional": "GGA-PBE", "state": "relaxed", "cell": [[-1.998, 2.142, 9.158], [1.998, -2.142, 9.158], [1.998, 2.142, -9.158]], "species": ["Dy", "Dy", "Pu", "Ge", "Ge", "Ge", "Ge"], "frac_coords": [[0.182, 0.182, 0.000], [0.818, 0.818, 0.000], [0.000, 0.500, 0.500], [0.342, 0.342, 0.000], [0.432, 0.932, 0.500], [0.568, 0.068, 0.500], [0.658, 0.658, 0.000]], "dos_ef_per_ev_atom": 1.4886, "formation_enthalpy_0k_ev_per_atom": -0.629}

{"formula": "Rb2TbTiO4", "functional": "GGA-PBE", "state": "relaxed", "cell": [[0.000, 6.645, 11.648], [2.986, 0.000, 11.648], [2.986, 6.645, 0.000]], "species": ["Rb", "Rb", "Rb", "Rb", "Tb", "Tb", "Ti", "Ti", "O", "O", "O", "O", "O", "O", "O", "O"], "frac_coords": [[0.058, 0.058, 0.692], [0.308, 0.308, 0.942], [0.692, 0.692, 0.058], [0.942, 0.942, 0.308], [0.125, 0.125, 0.125], [0.875, 0.875, 0.875], [0.375, 0.375, 0.375], [0.625, 0.625, 0.625], [0.049, 0.627, 0.543], [0.281, 0.543, 0.627], [0.373, 0.951, 0.719], [0.457, 0.719, 0.951], [0.543, 0.281, 0.049], [0.627, 0.049, 0.281], [0.719, 0.457, 0.373], [0.951, 0.373, 0.457]], "dos_ef_per_ev_atom": 0.3042, "e_form_raw_ev_per_atom": -2.242}

{"formula": "TlAg2Br2", "functional": "GGA-PBE", "state": "relaxed", "cell": [[-2.662, 2.662, 5.028], [2.662, -2.662, 5.028], [2.662, 2.662, -5.028]], "species": ["Tl", "Ag", "Ag", "Br", "Br"], "frac_coords": [[0.000, 0.000, 0.000], [0.364, 0.364, 0.000], [0.636, 0.636, 0.000], [0.250, 0.750, 0.500], [0.750, 0.250, 0.500]], "dos_ef_per_ev_atom": 0.6416, "e_form_raw_ev_per_atom": -0.169, "de_polymorph_mev_per_atom": 53.7}

{"formula": "KZrSb2", "functional": "GGA-PBE", "state": "relaxed", "cell": [[9.273, -1.625, 0.000], [9.273, 1.625, 0.000], [-1.001, 0.000, 4.195]], "species": ["K", "Zr", "Sb", "Sb"], "frac_coords": [[0.000, 0.000, 0.000], [0.734, 0.734, 0.233], [0.160, 0.160, 0.659], [0.370, 0.370, 0.371]], "dos_ef_per_ev_atom": 0.3541, "e_form_raw_ev_per_atom": -0.408, "de_polymorph_mev_per_atom": 88.3}

{"formula": "KScTe2", "functional": "GGA-PBE", "state": "relaxed", "cell": [[8.560, -1.947, 0.000], [8.560, 1.947, 0.000], [-0.996, 0.000, 4.008]], "species": ["K", "Sc", "Te", "Te"], "frac_coords": [[0.000, 0.000, 0.000], [0.754, 0.754, 0.253], [0.180, 0.180, 0.679], [0.380, 0.380, 0.380]], "dos_ef_per_ev_atom": 0.0740, "e_form_raw_ev_per_atom": -1.071}

{"formula": "ErPd7Au4", "functional": "GGA-PBE", "state": "relaxed", "cell": [[5.099, -2.490, 0.000], [5.099, 2.490, 0.000], [-4.912, 0.000, 8.625]], "species": ["Er", "Pd", "Pd", "Pd", "Pd", "Pd", "Pd", "Pd", "Au", "Au", "Au", "Au"], "frac_coords": [[0.000, 0.000, 0.000], [0.112, 0.112, 0.456], [0.288, 0.288, 0.083], [0.343, 0.343, 0.380], [0.500, 0.500, 0.000], [0.657, 0.657, 0.620], [0.712, 0.712, 0.917], [0.888, 0.888, 0.544], [0.185, 0.185, 0.772], [0.413, 0.413, 0.686], [0.587, 0.587, 0.314], [0.815, 0.815, 0.228]], "dos_ef_per_ev_atom": 0.5529, "formation_enthalpy_0k_ev_per_atom": -0.124, "de_polymorph_mev_per_atom": 232.6}

Number 1: raw total energy -3.007 eV/atom. Number 2: raw total energy -6.059 eV/atom. Number 3: raw total energy -6.629 eV/atom. Number 4: raw total energy -6.529 eV/atom. Number 5: raw total energy -2.452 eV/atom. Number 6: raw total energy -4.881 eV/atom. Number 7: raw total energy -4.499 eV/atom. Number 8: raw total energy -4.626 eV/atom.